Entry from the Alexandria database: Np2FeS4 after structural relaxation (GGA-PBE).

The value obtained for the formation energy from raw total energies is -1.103 eV per atom. As for the total energy: -8.368 eV/atom. For the density of states at the Fermi level, the calculation gives 2.503 states/eV per atom. Its crystal system is monoclinic.

POSCAR file:
```
Np2FeS4
1.0
-0.514 -1.051 -6.300
-5.722 0.005 0.466
0.089 7.473 1.009
S Fe Np
8 2 4
Direct
0.482 0.989 0.742
0.934 0.250 0.611
0.074 0.750 0.897
0.066 0.750 0.389
0.926 0.250 0.103
0.518 0.489 0.258
0.482 0.511 0.742
0.518 0.011 0.258
0.739 0.250 0.808
0.261 0.750 0.192
0.242 0.250 0.433
0.742 0.750 0.058
0.758 0.750 0.567
0.258 0.250 0.942
```

***

Entry from the Alexandria database: Np3FeS6 after structural relaxation (GGA-PBE).

The value obtained for the formation energy from raw total energies is -1.106 eV per atom. As for the total energy: -8.311 eV/atom. For the density of states at the Fermi level, the calculation gives 2.804 states/eV per atom. Its crystal system is trigonal.

POSCAR file:
```
Np3FeS6
1.0
7.509 -0.512 -0.524
-0.675 7.496 -0.524
-0.675 -0.690 7.483
S Np Fe
12 6 2
Direct
0.804 0.433 0.570
0.196 0.567 0.430
0.939 0.695 0.026
0.567 0.430 0.196
0.305 0.974 0.061
0.570 0.804 0.433
0.433 0.570 0.804
0.061 0.305 0.974
0.026 0.939 0.695
0.974 0.061 0.305
0.695 0.026 0.939
0.430 0.196 0.567
0.295 0.623 0.118
0.705 0.377 0.882
0.377 0.882 0.705
0.118 0.295 0.623
0.882 0.705 0.377
0.623 0.118 0.295
0.000 0.000 0.000
0.500 0.500 0.500
```

***

Entry from the Alexandria database: Np2TiFeS5 after structural relaxation (GGA-PBE).

The value obtained for the formation energy from raw total energies is -1.225 eV per atom. As for the total energy: -8.211 eV/atom. For the density of states at the Fermi level, the calculation gives 1.963 states/eV per atom. Its crystal system is orthorhombic.

POSCAR file:
```
Np2TiFeS5
1.0
-1.760 -3.054 -0.884
5.408 0.750 -5.888
7.444 -6.047 6.067
S Np Fe Ti
10 4 2 2
Direct
0.304 0.607 0.366
0.019 0.037 0.024
0.981 0.963 0.524
0.310 0.619 0.675
0.696 0.393 0.866
0.504 0.008 0.755
0.496 0.992 0.255
0.662 0.323 0.518
0.338 0.677 0.018
0.690 0.381 0.175
0.128 0.256 0.697
0.872 0.744 0.197
0.112 0.223 0.343
0.888 0.777 0.843
0.563 0.127 0.929
0.437 0.873 0.429
0.175 0.350 0.017
0.825 0.650 0.517
```

***

Entry from the Alexandria database: Np3Tl3FeS8 after structural relaxation (GGA-PBE).

The value obtained for the formation energy from raw total energies is -0.877 eV per atom. As for the total energy: -6.704 eV/atom. For the density of states at the Fermi level, the calculation gives 2.187 states/eV per atom. Its crystal system is trigonal.

POSCAR file:
```
Np3Tl3FeS8
1.0
-0.355 -2.224 7.448
-3.716 -4.102 -5.466
8.811 -0.838 0.170
Np S Tl Fe
3 8 3 1
Direct
0.500 0.500 0.500
0.000 0.500 0.500
0.500 0.000 0.500
0.222 0.964 0.687
0.741 0.964 0.687
0.733 0.465 0.698
0.259 0.036 0.313
0.267 0.535 0.302
0.222 0.444 0.686
0.778 0.036 0.313
0.778 0.556 0.314
0.500 0.500 0.000
0.000 0.500 0.000
0.000 0.000 0.000
0.000 0.000 0.500
```

***

Entry from the Alexandria database: NpTl2Fe2S4 after structural relaxation (GGA-PBE).

The value obtained for the formation energy from raw total energies is -0.604 eV per atom. As for the total energy: -6.283 eV/atom. For the density of states at the Fermi level, the calculation gives 1.401 states/eV per atom. Its crystal system is monoclinic.

POSCAR file:
```
NpTl2Fe2S4
1.0
3.784 0.000 0.000
0.000 7.814 0.485
-1.892 -2.683 6.679
S Fe Tl Np
4 2 2 1
Direct
0.194 0.158 0.389
0.806 0.842 0.611
0.526 0.773 0.053
0.474 0.227 0.947
0.315 0.032 0.629
0.685 0.968 0.371
0.860 0.424 0.720
0.140 0.576 0.280
0.000 0.000 0.000
```

***

Entry from the Alexandria database: NpUFeS4 after structural relaxation (GGA-PBE).

The value obtained for the formation energy from raw total energies is -1.126 eV per atom. As for the total energy: -8.155 eV/atom. For the density of states at the Fermi level, the calculation gives 1.962 states/eV per atom. Its crystal system is monoclinic.

POSCAR file:
```
NpUFeS4
1.0
6.362 0.000 0.134
0.000 5.780 0.000
-2.314 0.000 7.098
S Np U Fe
8 2 2 2
Direct
0.019 0.989 0.755
0.425 0.750 0.606
0.566 0.250 0.888
0.434 0.750 0.112
0.981 0.011 0.245
0.981 0.489 0.245
0.575 0.250 0.394
0.019 0.511 0.755
0.747 0.750 0.934
0.253 0.250 0.066
0.757 0.750 0.443
0.243 0.250 0.557
0.239 0.750 0.311
0.761 0.250 0.689
```

***

Entry from the Alexandria database: Np2UFeS5 after structural relaxation (GGA-PBE).

The value obtained for the formation energy from raw total energies is -1.195 eV per atom. As for the total energy: -8.559 eV/atom. For the density of states at the Fermi level, the calculation gives 2.187 states/eV per atom. Its crystal system is orthorhombic.

POSCAR file:
```
Np2UFeS5
1.0
-2.906 0.259 -2.213
6.181 -1.480 -5.262
-1.868 -11.680 1.089
Np S U Fe
4 10 2 2
Direct
0.891 0.781 0.850
0.876 0.752 0.194
0.109 0.219 0.350
0.124 0.248 0.694
0.011 0.021 0.017
0.656 0.312 0.520
0.310 0.619 0.352
0.309 0.618 0.690
0.690 0.381 0.852
0.344 0.688 0.020
0.691 0.382 0.190
0.989 0.979 0.517
0.500 0.000 0.254
0.500 0.000 0.754
0.178 0.355 0.022
0.822 0.645 0.522
0.439 0.879 0.423
0.561 0.121 0.923
```

***

Entry from the Alexandria database: NpFe4Sb12 after structural relaxation (GGA-PBE).

The value obtained for the formation energy from raw total energies is -0.113 eV per atom. As for the total energy: -5.775 eV/atom. For the density of states at the Fermi level, the calculation gives 0.404 states/eV per atom. Its crystal system is cubic.

POSCAR file:
```
NpFe4Sb12
1.0
-4.590 6.103 -2.089
6.181 -0.461 -4.926
-4.190 -6.707 -0.387
Sb Fe Np
12 4 1
Direct
0.495 0.163 0.333
0.830 0.163 0.667
0.667 0.505 0.837
0.667 0.830 0.163
0.505 0.837 0.667
0.163 0.333 0.495
0.837 0.667 0.505
0.333 0.170 0.837
0.333 0.495 0.163
0.837 0.333 0.170
0.163 0.667 0.830
0.170 0.837 0.333
0.500 0.000 0.000
0.500 0.500 0.500
0.000 0.500 0.000
0.000 0.000 0.500
0.000 0.000 0.000
```

***

Q: Look up the formation energy from raw total energies of the first one.
A: -1.103 eV per atom